Record 1
# BaNa2H6Ru, relaxed, DFT PBE-GGA
data_BaNa2H6Ru
_chemical_formula_sum 'Ba1 Na2 H6 Ru1'
_symmetry_space_group_name_H-M 'P -3 m 1'
_symmetry_Int_Tables_number 164
_symmetry_space_group_name_Hall '-P 3 2"'
_cell_length_a 5.4585
_cell_length_b 5.4585
_cell_length_c 6.4164
_cell_angle_alpha 90.00
_cell_angle_beta 90.00
_cell_angle_gamma 120.00
loop_
_atom_site_label
_atom_site_fract_x
_atom_site_fract_y
_atom_site_fract_z
Ba1 0.0000 0.0000 0.0000
Na1 0.3333 0.6667 0.4461
H1 0.1483 0.2966 0.6589
Ru1 0.0000 0.0000 0.5000
# DFT total energy: -3.667 eV per atom

Record 2
# Ba2NaH6Ru, relaxed, DFT PBE-GGA
data_Ba2NaH6Ru
_chemical_formula_sum 'Ba2 Na1 H6 Ru1'
_symmetry_space_group_name_H-M 'P -3 m 1'
_symmetry_Int_Tables_number 164
_symmetry_space_group_name_Hall '-P 3 2"'
_cell_length_a 5.6664
_cell_length_b 5.6664
_cell_length_c 5.9688
_cell_angle_alpha 90.00
_cell_angle_beta 90.00
_cell_angle_gamma 120.00
loop_
_atom_site_label
_atom_site_fract_x
_atom_site_fract_y
_atom_site_fract_z
Ba1 0.3333 0.6667 0.3185
Na1 0.0000 0.0000 0.0000
H1 0.1454 0.2909 0.6694
Ru1 0.0000 0.0000 0.5000
# DFT total energy: -3.848 eV per atom

Record 3
# BaNaH6Ru, relaxed, DFT PBE-GGA
data_BaNaH6Ru
_chemical_formula_sum 'Ba1 Na1 H6 Ru1'
_symmetry_space_group_name_H-M 'P 1 m 1'
_symmetry_Int_Tables_number 6
_cell_length_a 5.009
_cell_length_b 4.914
_cell_length_c 5.319
_cell_angle_alpha 90.00
_cell_angle_beta 118.01
_cell_angle_gamma 90.00
loop_
_symmetry_equiv_pos_as_xyz
'x,y,z'
'x,-y,z'
loop_
_atom_site_label
_atom_site_fract_x
_atom_site_fract_y
_atom_site_fract_z
Ba1 0.000 0.000 0.000
Na1 0.330 0.500 0.661
H1 0.524 0.249 0.050
H2 0.563 0.270 0.480
H3 0.918 0.270 0.483
Ru1 0.653 0.500 0.305
# DFT total energy: -3.845 eV per atom

Record 4
# BaNa2SbH, relaxed, DFT PBE-GGA
data_BaNa2SbH
_chemical_formula_sum 'Ba4 Na8 Sb4 H4'
_symmetry_space_group_name_H-M 'C m c m'
_symmetry_Int_Tables_number 63
_symmetry_space_group_name_Hall '-C 2c 2'
_cell_length_a 4.885
_cell_length_b 12.675
_cell_length_c 9.217
_cell_angle_alpha 90.00
_cell_angle_beta 90.00
_cell_angle_gamma 90.00
loop_
_atom_site_label
_atom_site_fract_x
_atom_site_fract_y
_atom_site_fract_z
Ba1 0.000 0.059 0.250
Na1 0.000 0.335 0.061
Sb1 0.000 0.229 0.750
H1 0.000 0.500 0.000
# energy above the lowest structure with this stoichiometry: 0.036 eV per atom

Record 5
# BaNa2SbH, relaxed, DFT PBE-GGA
data_BaNa2SbH
_chemical_formula_sum 'Ba1 Na2 Sb1 H1'
_symmetry_space_group_name_H-M 'P 4/m m m'
_symmetry_Int_Tables_number 123
_symmetry_space_group_name_Hall '-P 4 2'
_cell_length_a 4.995
_cell_length_b 4.995
_cell_length_c 5.435
_cell_angle_alpha 90.00
_cell_angle_beta 90.00
_cell_angle_gamma 90.00
loop_
_atom_site_label
_atom_site_fract_x
_atom_site_fract_y
_atom_site_fract_z
Ba1 0.000 0.000 0.000
Na1 0.000 0.500 0.500
Sb1 0.500 0.500 0.000
H1 0.000 0.000 0.500
# energy above the lowest structure with this stoichiometry: 0.000 eV per atom

Record 6
# Ba3Na2H5Se2, relaxed, DFT PBE-GGA
data_Ba3Na2H5Se2
_chemical_formula_sum 'Ba6 Na4 H10 Se4'
_symmetry_space_group_name_H-M 'I 4/m m m'
_symmetry_Int_Tables_number 139
_symmetry_space_group_name_Hall '-I 4 2'
_cell_length_a 4.481
_cell_length_b 4.481
_cell_length_c 25.050
_cell_angle_alpha 90.00
_cell_angle_beta 90.00
_cell_angle_gamma 90.00
loop_
_atom_site_label
_atom_site_fract_x
_atom_site_fract_y
_atom_site_fract_z
Ba1 0.000 0.000 0.000
Ba2 0.000 0.000 0.169
Na1 0.000 0.000 0.415
H1 0.000 0.000 0.500
H2 0.000 0.500 0.080
Se1 0.000 0.000 0.299
# DFT total energy: -3.360 eV per atom

Q: What is the formula in the fifth record?
A: BaNa2SbH

Copy entry 2 word for word.
# Ba2NaH6Ru, relaxed, DFT PBE-GGA
data_Ba2NaH6Ru
_chemical_formula_sum 'Ba2 Na1 H6 Ru1'
_symmetry_space_group_name_H-M 'P -3 m 1'
_symmetry_Int_Tables_number 164
_symmetry_space_group_name_Hall '-P 3 2"'
_cell_length_a 5.6664
_cell_length_b 5.6664
_cell_length_c 5.9688
_cell_angle_alpha 90.00
_cell_angle_beta 90.00
_cell_angle_gamma 120.00
loop_
_atom_site_label
_atom_site_fract_x
_atom_site_fract_y
_atom_site_fract_z
Ba1 0.3333 0.6667 0.3185
Na1 0.0000 0.0000 0.0000
H1 0.1454 0.2909 0.6694
Ru1 0.0000 0.0000 0.5000
# DFT total energy: -3.848 eV per atom